First-principles (PBE with a Hubbard U) data for crystalline MnFeO at its relaxed geometry, as listed in Alexandria.

abc: 5.220 5.282 7.366
angles: 89.90 87.32 60.81
Space group P-1 (No. 2)
Unique sites:
Mn 0.161 0.492 0.157 x2
Mn 0.198 0.797 0.823 x2
Fe 0.161 0.189 0.509 x2
Fe 0.490 0.822 0.165 x2
O 0.129 0.854 0.317 x2
O 0.473 0.161 0.330 x2

Computed properties:
- crystal system = triclinic
- calculated total energy (eV per atom) = -6.54
- calculated volume (Å³ per cell) = 177
- total magnetic moment (μB/cell) = 33.01